1.
DFT (PBE) results for an optimized crystal structure of Pr3Mg3HgPd2.

Results
E_tot (eV/atom): -3.837
Space group: No. 189
Magnetization (μB per formula unit): 0.0

abc: 7.7433 7.7433 4.2249
angles: 90.00 90.00 120.00
Last column: nearest neighbours and their distance in Å.
Sites, in units of the cell vectors:
Pr1 0.0000 0.5790 0.0000  4 Pd 3.14, 1 Hg 3.26, 2 Mg 3.31
Pr2 0.4210 0.4210 0.0000  4 Pd 3.14, 1 Hg 3.26, 2 Mg 3.31
Pr3 0.5790 0.0000 0.0000  4 Pd 3.14, 1 Hg 3.26, 2 Mg 3.31
Mg1 0.0000 0.2503 0.5000  2 Hg 2.87, 2 Pd 2.96
Mg2 0.2503 0.0000 0.5000  2 Hg 2.87, 2 Pd 2.96
Mg3 0.7497 0.7497 0.5000  2 Hg 2.87, 2 Pd 2.96
Hg1 0.0000 0.0000 0.0000  6 Mg 2.87
Pd1 0.3333 0.6667 0.5000  3 Mg 2.96, 6 Pr 3.14
Pd2 0.6667 0.3333 0.5000  3 Mg 2.96, 6 Pr 3.14

2.
DFT (PBE) results for an optimized crystal structure of Sm3Mg3HgPd2.

Results
E_tot (eV/atom): -3.832
Space group: No. 189
Magnetization (μB per formula unit): 0.0

abc: 7.6494 7.6494 4.1775
angles: 90.00 90.00 120.00
Last column: nearest neighbours and their distance in Å.
Sites, in units of the cell vectors:
Sm1 0.0000 0.5810 0.0000  4 Pd 3.10, 1 Hg 3.21, 2 Mg 3.26
Sm2 0.4190 0.4190 0.0000  4 Pd 3.10, 1 Hg 3.21, 2 Mg 3.26
Sm3 0.5810 0.0000 0.0000  4 Pd 3.10, 1 Hg 3.21, 2 Mg 3.26
Mg1 0.0000 0.2541 0.5000  2 Hg 2.85, 2 Pd 2.90
Mg2 0.2541 0.0000 0.5000  2 Hg 2.85, 2 Pd 2.90
Mg3 0.7459 0.7459 0.5000  2 Hg 2.85, 2 Pd 2.90
Hg1 0.0000 0.0000 0.0000  6 Mg 2.85
Pd1 0.3333 0.6667 0.5000  3 Mg 2.90, 6 Sm 3.10
Pd2 0.6667 0.3333 0.5000  3 Mg 2.90, 6 Sm 3.10

3.
DFT (PBE) results for an optimized crystal structure of Y3Mg3Hg2Pd.

Results
E_tot (eV/atom): -3.818
Space group: No. 189
Magnetization (μB per formula unit): 0.0

abc: 7.6907 7.6907 4.1783
angles: 90.00 90.00 120.00
Last column: nearest neighbours and their distance in Å.
Sites, in units of the cell vectors:
Y1 0.0000 0.5966 0.0000  1 Pd 3.10, 4 Hg 3.14, 6 Mg 3.41-3.47
Y2 0.4034 0.4034 0.0000  1 Pd 3.10, 4 Hg 3.14, 6 Mg 3.41-3.47
Y3 0.5966 0.0000 0.0000  1 Pd 3.10, 4 Hg 3.14, 6 Mg 3.41-3.47
Mg1 0.0000 0.2370 0.5000  2 Pd 2.77, 2 Hg 3.00
Mg2 0.2370 0.0000 0.5000  2 Pd 2.77, 2 Hg 3.00
Mg3 0.7630 0.7630 0.5000  2 Pd 2.77, 2 Hg 3.00
Hg1 0.3333 0.6667 0.5000  3 Mg 3.00, 6 Y 3.14
Hg2 0.6667 0.3333 0.5000  3 Mg 3.00, 6 Y 3.14
Pd1 0.0000 0.0000 0.0000  6 Mg 2.77, 3 Y 3.10